# 1
Material: Ba2Ni9B6
Method: DFT, GGA-PBEsol
State: relaxed

Output
As for the space group: R-3c, No. 167. Its crystal system is trigonal. For the formation energy, the calculation gives -328 meV per atom.

Cell: 7.458 7.458 7.458 Å, 83.28 83.28 83.28°
Fractional positions:
Ni 0.892 0.435 0.921
Ni 0.435 0.921 0.892
Ni 0.213 0.750 0.287
Ni 0.108 0.565 0.079
Ni 0.392 0.421 0.935
Ni 0.079 0.108 0.565
Ni 0.287 0.213 0.750
Ni 0.921 0.892 0.435
Ni 0.565 0.079 0.108
Ni 0.935 0.392 0.421
Ni 0.250 0.713 0.787
Ni 0.787 0.250 0.713
Ni 0.713 0.787 0.250
Ni 0.608 0.579 0.065
Ni 0.065 0.608 0.579
Ni 0.421 0.935 0.392
Ni 0.579 0.065 0.608
Ni 0.750 0.287 0.213
Ba 0.878 0.878 0.878
Ba 0.378 0.378 0.378
Ba 0.122 0.122 0.122
Ba 0.622 0.622 0.622
B 0.463 0.814 0.155
B 0.155 0.463 0.814
B 0.963 0.655 0.314
B 0.686 0.037 0.345
B 0.314 0.963 0.655
B 0.814 0.155 0.463
B 0.845 0.537 0.186
B 0.537 0.186 0.845
B 0.186 0.845 0.537
B 0.037 0.345 0.686
B 0.345 0.686 0.037
B 0.655 0.314 0.963

=====

# 2
Material: BaNi12B6
Method: DFT, GGA-PBEsol
State: relaxed

Output
As for the space group: R-3m, No. 166. Its crystal system is trigonal. For the formation energy, the calculation gives -359 meV per atom.

Cell: 6.044 6.044 6.044 Å, 104.67 104.67 104.67°
Fractional positions:
Ni 0.813 0.537 0.537
Ni 0.463 0.463 0.187
Ni 0.537 0.537 0.813
Ni 0.187 0.463 0.463
Ni 0.867 0.133 0.500
Ni 0.500 0.867 0.133
Ni 0.133 0.867 0.500
Ni 0.133 0.500 0.867
Ni 0.463 0.187 0.463
Ni 0.500 0.133 0.867
Ni 0.537 0.813 0.537
Ni 0.867 0.500 0.133
B 0.347 0.767 0.767
B 0.233 0.233 0.653
B 0.767 0.347 0.767
B 0.233 0.653 0.233
B 0.653 0.233 0.233
B 0.767 0.767 0.347
Ba 0.000 0.000 0.000

=====

# 3
Material: Ba2TcNiB
Method: DFT, GGA-PBEsol
State: relaxed

Output
As for the space group: P4/mmm, No. 123. Its crystal system is tetragonal. For the formation energy, the calculation gives 855 meV per atom.

Cell: 4.001 5.664 5.664 Å, 90.00 90.00 90.00°
Site moments in Bohr magnetons follow the coordinates.
Fractional positions:
Ba 0.000 0.500 0.000  -0.01
Ba 0.000 0.000 0.500  -0.01
Ni 0.500 0.500 0.500  0.37
Tc 0.000 0.000 0.000  0.00
B 0.500 0.000 0.000  0.00

=====

# 4
Material: Ba2B2O5
Method: DFT, GGA-PBEsol
State: relaxed

Output
The calculation puts the uncorrected formation energy at -2748 meV per atom. As for the space group: P2_1/c, No. 14. Its crystal system is monoclinic.

Cell: 4.216 10.715 13.296 Å, 105.51 90.00 90.00°
Fractional positions:
B 0.173 0.297 0.816
B 0.836 0.176 0.929
B 0.336 0.824 0.571
B 0.827 0.703 0.184
B 0.164 0.824 0.071
B 0.327 0.297 0.316
B 0.664 0.176 0.429
B 0.673 0.703 0.684
O 0.220 0.725 0.985
O 0.754 0.051 0.422
O 0.509 0.808 0.659
O 0.716 0.586 0.613
O 0.267 0.270 0.713
O 0.254 0.949 0.078
O 0.280 0.725 0.485
O 0.780 0.275 0.015
O 0.284 0.414 0.387
O 0.491 0.192 0.341
O 0.746 0.051 0.922
O 0.733 0.730 0.287
O 0.784 0.586 0.113
O 0.991 0.808 0.159
O 0.216 0.414 0.887
O 0.233 0.270 0.213
O 0.246 0.949 0.578
O 0.009 0.192 0.841
O 0.720 0.275 0.515
O 0.767 0.730 0.787
Ba 0.753 0.102 0.637
Ba 0.723 0.578 0.910
Ba 0.277 0.422 0.090
Ba 0.223 0.422 0.590
Ba 0.247 0.898 0.363
Ba 0.777 0.578 0.410
Ba 0.253 0.898 0.863
Ba 0.747 0.102 0.137

=====

# 5
Material: Ba3B2O6
Method: DFT, GGA-PBEsol
State: relaxed

Output
The calculation puts the uncorrected formation energy at -2786 meV per atom. As for the space group: R-3c, No. 167. Its crystal system is trigonal.

Cell: 7.085 7.085 7.085 Å, 84.26 84.26 84.26°
Fractional positions:
O 0.969 0.263 0.107
O 0.031 0.737 0.893
O 0.107 0.969 0.263
O 0.893 0.031 0.737
O 0.469 0.607 0.763
O 0.393 0.237 0.531
O 0.237 0.531 0.393
O 0.607 0.763 0.469
O 0.263 0.107 0.969
O 0.737 0.893 0.031
O 0.531 0.393 0.237
O 0.763 0.469 0.607
Ba 0.250 0.902 0.598
Ba 0.598 0.250 0.902
Ba 0.402 0.750 0.098
Ba 0.902 0.598 0.250
Ba 0.098 0.402 0.750
Ba 0.750 0.098 0.402
B 0.613 0.613 0.613
B 0.113 0.113 0.113
B 0.387 0.387 0.387
B 0.887 0.887 0.887

=====

# 6
Material: Ba2B2O5
Method: DFT, GGA-PBEsol
State: relaxed

Output
The calculation puts the uncorrected formation energy at -2748 meV per atom. As for the space group: P-1, No. 2. Its crystal system is triclinic.

Cell: 4.289 6.512 10.504 Å, 103.60 88.93 92.65°
Fractional positions:
O 0.230 0.343 0.555
O 0.478 0.813 0.309
O 0.285 0.529 0.780
O 0.794 0.930 0.760
O 0.522 0.187 0.691
O 0.713 0.262 0.916
O 0.715 0.471 0.220
O 0.206 0.070 0.240
O 0.770 0.657 0.445
O 0.287 0.738 0.084
B 0.334 0.358 0.679
B 0.666 0.642 0.321
B 0.314 0.870 0.206
B 0.686 0.130 0.794
Ba 0.216 0.318 0.077
Ba 0.784 0.682 0.923
Ba 0.260 0.777 0.594
Ba 0.740 0.223 0.406

=====

# 7
Material: Ba3B2O6
Method: DFT, GGA-PBEsol
State: relaxed

Output
The calculation puts the uncorrected formation energy at -2725 meV per atom. As for the space group: Pnnm, No. 58. Its crystal system is orthorhombic.

Cell: 5.168 7.054 10.257 Å, 90.00 90.00 90.00°
Fractional positions:
O 0.844 0.733 0.618
O 0.656 0.233 0.118
O 0.266 0.316 0.000
O 0.156 0.267 0.618
O 0.234 0.816 0.500
O 0.656 0.233 0.882
O 0.766 0.184 0.500
O 0.844 0.733 0.382
O 0.344 0.767 0.882
O 0.156 0.267 0.382
O 0.734 0.684 0.000
O 0.344 0.767 0.118
B 0.474 0.733 0.000
B 0.974 0.767 0.500
B 0.526 0.267 0.000
B 0.026 0.233 0.500
Ba 0.000 0.500 0.811
Ba 0.500 0.000 0.689
Ba 0.000 0.500 0.189
Ba 0.500 0.000 0.311
Ba 0.500 0.500 0.500
Ba 0.000 0.000 0.000

=====

# 8
Material: Ba2B10O17
Method: DFT, GGA-PBEsol
State: relaxed

Output
The calculation puts the uncorrected formation energy at -2610 meV per atom. As for the space group: P-1, No. 2. Its crystal system is triclinic.

Cell: 6.741 9.940 10.180 Å, 75.69 82.59 72.79°
Fractional positions:
O 0.927 0.672 0.413
O 0.656 0.774 0.255
O 0.417 0.324 0.514
O 0.669 0.231 0.930
O 0.027 0.200 0.875
O 0.118 0.138 0.462
O 0.583 0.676 0.486
O 0.253 0.501 0.833
O 0.100 0.844 0.886
O 0.664 0.831 0.016
O 0.039 0.619 0.644
O 0.339 0.691 0.668
O 0.331 0.769 0.070
O 0.073 0.328 0.587
O 0.900 0.156 0.114
O 0.344 0.226 0.745
O 0.621 0.626 0.948
O 0.379 0.374 0.052
O 0.155 0.604 0.030
O 0.353 0.908 0.489
O 0.336 0.169 0.984
O 0.175 0.994 0.685
O 0.221 0.729 0.443
O 0.747 0.499 0.167
O 0.647 0.092 0.511
O 0.961 0.381 0.356
O 0.845 0.396 0.970
O 0.448 0.869 0.840
O 0.882 0.862 0.538
O 0.973 0.800 0.125
O 0.552 0.131 0.160
O 0.825 0.006 0.315
O 0.779 0.271 0.557
O 0.661 0.309 0.332
Ba 0.272 0.521 0.286
Ba 0.728 0.479 0.714
Ba 0.254 0.975 0.221
Ba 0.746 0.025 0.779
B 0.251 0.895 0.802
B 0.229 0.202 0.870
B 0.631 0.247 0.479
B 0.859 0.244 0.977
B 0.771 0.798 0.130
B 0.265 0.495 0.969
B 0.369 0.753 0.521
B 0.218 0.013 0.547
B 0.512 0.770 0.974
B 0.202 0.609 0.716
B 0.798 0.391 0.284
B 0.735 0.505 0.031
B 0.016 0.724 0.508
B 0.276 0.290 0.616
B 0.749 0.105 0.198
B 0.488 0.230 0.026
B 0.141 0.756 0.023
B 0.724 0.710 0.384
B 0.782 0.987 0.453
B 0.984 0.276 0.492

=====

> What is the formula in the first record?

Ba2Ni9B6